Version w
The following is a PBE calculation of a geometry-optimized AlCoBr structure, from Alexandria via LeMat-Bulk.

```
3
Lattice="-1.563 1.563 5.726 1.563 -1.563 5.726 1.563 1.563 -5.726" Properties=species:S:1:pos:R:3 pbc="T T T"
Al 0.000 0.000 0.000
Co 0.000 0.000 4.662
Br 0.000 0.000 8.653
```

Summary:
SG	I4mm (107)
M_tot	0.299	μB per atom
Fermi-level density of states	3.2	states/eV/cell

---

Version x
The following is a PBE calculation of a geometry-optimized AlCoBr structure, from Alexandria via LeMat-Bulk.

```
3
Lattice="0.000 3.100 3.100 3.100 0.000 3.100 3.100 3.100 0.000" Properties=species:S:1:pos:R:3 pbc="T T T"
Al 0.000 0.000 0.000
Co 4.650 4.650 4.650
Br 1.550 1.550 1.550
```

Summary:
SG	F-43m (216)
M_tot	0.348	μB per atom
Fermi-level density of states	3.5	states/eV/cell

---

Top of the stability list: version w, leading by 558 meV per atom.

---

Version w
The following is a PBE calculation of a geometry-optimized AlCrBr3 structure, from Alexandria via LeMat-Bulk.

```
5
Lattice="5.212 0.000 0.000 0.000 5.212 0.000 0.000 0.000 5.212" Properties=species:S:1:pos:R:3 pbc="T T T"
Al 0.000 0.000 0.000
Cr 2.606 2.606 2.606
Br 0.000 2.606 2.606
Br 2.606 0.000 2.606
Br 2.606 2.606 0.000
```

Summary:
SG	Pm-3m (221)
M_tot	0.800	μB per atom
Fermi-level density of states	1.2	states/eV/cell

---

Version x
The following is a PBE calculation of a geometry-optimized AlCrBr3 structure, from Alexandria via LeMat-Bulk.

```
5
Lattice="5.192 0.000 0.000 0.000 5.192 0.000 0.000 0.000 5.192" Properties=species:S:1:pos:R:3 pbc="T T T"
Al 0.000 0.000 0.000
Cr 2.596 2.596 2.596
Br 0.000 0.000 2.596
Br 0.000 2.596 0.000
Br 2.596 0.000 0.000
```

Summary:
SG	Pm-3m (221)
M_tot	1.049	μB per atom
Fermi-level density of states	5.5	states/eV/cell

---

Top of the stability list: version w, leading by 263 meV per atom.